[1]
# meta-GGA SCAN Pm2CuOs, single point on PBEsol structure
# Space group: No. 225
# Calculated formation energy in eV per formula unit: -0.80
# DOS at the Fermi energy in states/eV per atom: 0.478
data_Pm2CuOs
_chemical_formula_sum 'Pm2 Cu1 Os1'
_symmetry_space_group_name_H-M 'P 1'
_symmetry_Int_Tables_number 1
_symmetry_space_group_name_Hall 'P 1'
_cell_length_a 4.9001
_cell_length_b 4.9001
_cell_length_c 4.9001
_cell_angle_alpha 60.00
_cell_angle_beta 60.00
_cell_angle_gamma 60.00
loop_
_atom_site_label
_atom_site_type_symbol
_atom_site_fract_x
_atom_site_fract_y
_atom_site_fract_z
Pm1 Pm 0.2500 0.2500 0.2500
Pm2 Pm 0.7500 0.7500 0.7500
Cu1 Cu 0.0000 0.0000 0.0000
Os1 Os 0.5000 0.5000 0.5000



[2]
# meta-GGA SCAN La2YGa2, single point on PBEsol structure
# Space group: No. 127
# Calculated formation energy in eV per formula unit: -3.00
# DOS at the Fermi energy in states/eV per atom: 1.191
data_La2YGa2
_chemical_formula_sum 'La4 Y2 Ga4'
_symmetry_space_group_name_H-M 'P 1'
_symmetry_Int_Tables_number 1
_symmetry_space_group_name_Hall 'P 1'
_cell_length_a 7.7251
_cell_length_b 7.7251
_cell_length_c 4.5746
_cell_angle_alpha 90.00
_cell_angle_beta 90.00
_cell_angle_gamma 90.00
loop_
_atom_site_label
_atom_site_type_symbol
_atom_site_fract_x
_atom_site_fract_y
_atom_site_fract_z
La1 La 0.1723 0.3277 0.0000
La2 La 0.3277 0.8277 0.0000
La3 La 0.6723 0.1723 0.0000
La4 La 0.8277 0.6723 0.0000
Y1 Y 0.0000 0.0000 0.5000
Y2 Y 0.5000 0.5000 0.5000
Ga1 Ga 0.1198 0.6198 0.5000
Ga2 Ga 0.3802 0.1198 0.5000
Ga3 Ga 0.6198 0.8802 0.5000
Ga4 Ga 0.8802 0.3802 0.5000



[3]
# meta-GGA SCAN LaRe2Mo, single point on PBEsol structure
# Space group: No. 225
# Distance to the lowest polymorph of the same formula in meV per atom: 286
# Calculated formation energy in eV per formula unit: 2.48
# DOS at the Fermi energy in states/eV per atom: 0.527
data_LaRe2Mo
_chemical_formula_sum 'La1 Re2 Mo1'
_symmetry_space_group_name_H-M 'P 1'
_symmetry_Int_Tables_number 1
_symmetry_space_group_name_Hall 'P 1'
_cell_length_a 4.6207
_cell_length_b 4.6207
_cell_length_c 4.6207
_cell_angle_alpha 60.00
_cell_angle_beta 60.00
_cell_angle_gamma 60.00
loop_
_atom_site_label
_atom_site_type_symbol
_atom_site_fract_x
_atom_site_fract_y
_atom_site_fract_z
La1 La 0.0000 0.0000 0.0000
Re1 Re 0.2500 0.2500 0.2500
Re2 Re 0.7500 0.7500 0.7500
Mo1 Mo 0.5000 0.5000 0.5000



[4]
# meta-GGA SCAN SrCrO2, single point on PBEsol structure
# Space group: No. 123
# ΔE_f (raw) in kJ/mol of atoms: -239
# DOS at the Fermi energy in states/eV per atom: 0.491
data_SrCrO2
_chemical_formula_sum 'Sr1 Cr1 O2'
_symmetry_space_group_name_H-M 'P 1'
_symmetry_Int_Tables_number 1
_symmetry_space_group_name_Hall 'P 1'
_cell_length_a 3.8603
_cell_length_b 3.8603
_cell_length_c 3.5521
_cell_angle_alpha 90.00
_cell_angle_beta 90.00
_cell_angle_gamma 90.00
loop_
_atom_site_label
_atom_site_type_symbol
_atom_site_fract_x
_atom_site_fract_y
_atom_site_fract_z
Sr1 Sr 0.0000 0.0000 0.0000
Cr1 Cr 0.5000 0.5000 0.5000
O1 O 0.0000 0.5000 0.5000
O2 O 0.5000 0.0000 0.5000



[5]
# meta-GGA SCAN ZrSICl2, single point on PBEsol structure
# Space group: No. 123
# ΔE_f (raw) in kJ/mol of atoms: -101
# DOS at the Fermi energy in states/eV per atom: 0.503
data_ZrSICl2
_chemical_formula_sum 'Zr1 S1 I1 Cl2'
_symmetry_space_group_name_H-M 'P 1'
_symmetry_Int_Tables_number 1
_symmetry_space_group_name_Hall 'P 1'
_cell_length_a 4.9614
_cell_length_b 4.9614
_cell_length_c 5.0576
_cell_angle_alpha 90.00
_cell_angle_beta 90.00
_cell_angle_gamma 90.00
loop_
_atom_site_label
_atom_site_type_symbol
_atom_site_fract_x
_atom_site_fract_y
_atom_site_fract_z
Zr1 Zr 0.0000 0.0000 0.0000
S1 S 0.0000 0.0000 0.5000
I1 I 0.5000 0.5000 0.5000
Cl1 Cl 0.0000 0.5000 0.0000
Cl2 Cl 0.5000 0.0000 0.0000



[6]
# meta-GGA SCAN HfIO2, single point on PBEsol structure
# Space group: No. 166
# ΔE_f (raw) in kJ/mol of atoms: -247
# DOS at the Fermi energy in states/eV per atom: 0.202
data_HfIO2
_chemical_formula_sum 'Hf1 I1 O2'
_symmetry_space_group_name_H-M 'P 1'
_symmetry_Int_Tables_number 1
_symmetry_space_group_name_Hall 'P 1'
_cell_length_a 10.0131
_cell_length_b 10.0131
_cell_length_c 10.0131
_cell_angle_alpha 18.55
_cell_angle_beta 18.55
_cell_angle_gamma 18.55
loop_
_atom_site_label
_atom_site_type_symbol
_atom_site_fract_x
_atom_site_fract_y
_atom_site_fract_z
Hf1 Hf 0.0000 0.0000 0.0000
I1 I 0.5000 0.5000 0.5000
O1 O 0.3655 0.3655 0.3655
O2 O 0.6345 0.6345 0.6345



Look up the DOS at the Fermi energy of the second one.
1.191 states/eV per atom



DOS at the Fermi energy of number 3 (LaRe2Mo)?
0.527 states/eV per atom